A plane-wave DFT calculation with PBE was carried out for Nb2SnO after structural relaxation.

Cell: 6.433 6.433 6.433 Å, 90.00 90.00 90.00°
Sites, in units of the cell vectors:
Nb (0.250, 0.250, 0.250)
Nb (0.250, 0.250, 0.750)
Nb (0.250, 0.750, 0.250)
Nb (0.250, 0.750, 0.750)
Nb (0.750, 0.250, 0.250)
Nb (0.750, 0.250, 0.750)
Nb (0.750, 0.750, 0.250)
Nb (0.750, 0.750, 0.750)
Sn (0.000, 0.000, 0.000)
Sn (0.000, 0.500, 0.500)
Sn (0.500, 0.000, 0.500)
Sn (0.500, 0.500, 0.000)
O (0.000, 0.000, 0.500)
O (0.000, 0.500, 0.000)
O (0.500, 0.000, 0.000)
O (0.500, 0.500, 0.500)

Properties
VASP energy	-7.2125	eV per atom
energy relative to the elements, uncorrected	0.06	eV/atom
DOS(E_F)	2.143	states/eV/cell
M_tot	0.0	μB/cell
calculated density	8.0	g/cm³

***

A plane-wave DFT calculation with PBE was carried out for SrTiNbSnO6 after structural relaxation.

Cell: 5.687 5.687 5.687 Å, 60.00 60.00 60.00°
Sites, in units of the cell vectors:
Sr (0.000, 0.000, 0.000)
Ti (0.750, 0.750, 0.750)
Nb (0.250, 0.250, 0.250)
Sn (0.500, 0.500, 0.500)
O (0.503, 0.503, 0.997)
O (0.503, 0.997, 0.503)
O (0.503, 0.997, 0.997)
O (0.997, 0.503, 0.503)
O (0.997, 0.503, 0.997)
O (0.997, 0.997, 0.503)

Properties
VASP energy	-7.8280	eV per atom
energy relative to the elements, uncorrected	-2.49	eV/atom
DOS(E_F)	3.275	states/eV/cell
M_tot	0.0	μB/cell
calculated density	5.7	g/cm³